Here is a relaxed structure of Ba3GeBr from the Alexandria database. Energies are from PBE.

POSCAR file:
```
Ba3GeBr
1.0
4.710 0.000 0.000
0.000 9.545 0.073
0.000 -2.087 9.587
Ge Ba Br
2 6 2
Cartesian
1.178 2.793 2.370 Ge
3.533 4.665 7.290 Ge
3.533 0.857 9.543 Ba
3.533 4.850 3.560 Ba
1.178 7.058 6.874 Ba
1.178 2.608 6.100 Ba
3.533 0.400 2.786 Ba
1.178 6.601 0.117 Ba
3.533 0.012 6.157 Br
1.178 7.446 3.503 Br
```

Computed properties:
- Formation energy (no corrections): -444 kJ/mol of formula units
- Final energy: -3.33 eV per atom
- Energy above the lowest structure with this stoichiometry: 0.000 eV/atom